[1]
The following is a DFT calculation (PBE) of Ce2ThNbN4 after structural relaxation.

```
data_Ce2ThNbN4
_chemical_formula_sum 'Ce2 Th1 Nb1 N4'
_symmetry_space_group_name_H-M 'P 1 2/m 1'
_symmetry_Int_Tables_number 10
_cell_length_a 5.996
_cell_length_b 3.454
_cell_length_c 6.040
_cell_angle_alpha 90.00
_cell_angle_beta 108.80
_cell_angle_gamma 90.00
loop_
_symmetry_equiv_pos_as_xyz
'x,y,z'
'-x,-y,-z'
'-x,y,-z'
'x,-y,z'
loop_
_atom_site_label
_atom_site_type_symbol
_atom_site_fract_x
_atom_site_fract_y
_atom_site_fract_z
_atom_site_occupancy
Ce1 Ce 0.000 0.000 0.000 1
Ce2 Ce 0.000 0.500 0.500 1
Th1 Th 0.500 0.000 0.500 1
Nb1 Nb 0.500 0.500 0.000 1
N1 N 0.267 0.500 0.226 1
N2 N 0.277 0.000 0.780 1
```

Results
Total moment in μB per cell: 0.0
V in Å³ per atom: 14.80
N(E_F) in states/eV per cell: 5.6

[2]
The following is a DFT calculation (PBE) of Ce3Th2NbN6 after structural relaxation.

```
data_Ce3Th2NbN6
_chemical_formula_sum 'Ce6 Th4 Nb2 N12'
_symmetry_space_group_name_H-M 'C 1 2/m 1'
_symmetry_Int_Tables_number 12
_cell_length_a 6.121
_cell_length_b 10.589
_cell_length_c 6.073
_cell_angle_alpha 90.00
_cell_angle_beta 109.60
_cell_angle_gamma 90.00
loop_
_symmetry_equiv_pos_as_xyz
'x,y,z'
'-x,-y,-z'
'-x,y,-z'
'x,-y,z'
'x+1/2,y+1/2,z'
'-x+1/2,-y+1/2,-z'
'-x+1/2,y+1/2,-z'
'x+1/2,-y+1/2,z'
loop_
_atom_site_label
_atom_site_type_symbol
_atom_site_fract_x
_atom_site_fract_y
_atom_site_fract_z
_atom_site_occupancy
Ce1 Ce 0.000 0.000 0.000 1
Ce2 Ce 0.000 0.335 0.000 1
Th1 Th 0.000 0.167 0.500 1
Nb1 Nb 0.000 0.500 0.500 1
N1 N 0.232 0.500 0.259 1
N2 N 0.234 0.344 0.736 1
```

Results
Total moment in μB per cell: 0.0
V in Å³ per atom: 15.45
N(E_F) in states/eV per cell: 15.2

[3]
The following is a DFT calculation (PBE) of Ce2TmNbN4 after structural relaxation.

```
data_Ce2TmNbN4
_chemical_formula_sum 'Ce2 Tm1 Nb1 N4'
_symmetry_space_group_name_H-M 'P 1 2/m 1'
_symmetry_Int_Tables_number 10
_cell_length_a 5.856
_cell_length_b 3.374
_cell_length_c 5.940
_cell_angle_alpha 90.00
_cell_angle_beta 109.09
_cell_angle_gamma 90.00
loop_
_symmetry_equiv_pos_as_xyz
'x,y,z'
'-x,-y,-z'
'-x,y,-z'
'x,-y,z'
loop_
_atom_site_label
_atom_site_type_symbol
_atom_site_fract_x
_atom_site_fract_y
_atom_site_fract_z
_atom_site_occupancy
Ce1 Ce 0.000 0.000 0.000 1
Ce2 Ce 0.500 0.500 0.000 1
Tm1 Tm 0.000 0.500 0.500 1
Nb1 Nb 0.500 0.000 0.500 1
N1 N 0.256 0.000 0.727 1
N2 N 0.269 0.500 0.277 1
```

Results
Total moment in μB per cell: 0.0
V in Å³ per atom: 13.86
N(E_F) in states/eV per cell: 4.4

[4]
The following is a DFT calculation (PBE) of CeNbVN3 after structural relaxation.

```
data_CeNbVN3
_chemical_formula_sum 'Ce2 Nb2 V2 N6'
_symmetry_space_group_name_H-M 'P 1 21/m 1'
_symmetry_Int_Tables_number 11
_cell_length_a 6.802
_cell_length_b 3.155
_cell_length_c 7.668
_cell_angle_alpha 90.00
_cell_angle_beta 101.85
_cell_angle_gamma 90.00
loop_
_symmetry_equiv_pos_as_xyz
'x,y,z'
'-x,-y,-z'
'-x,y+1/2,-z'
'x,-y+1/2,z'
loop_
_atom_site_label
_atom_site_type_symbol
_atom_site_fract_x
_atom_site_fract_y
_atom_site_fract_z
_atom_site_occupancy
Ce1 Ce 0.177 0.250 0.198 1
Nb1 Nb 0.354 0.750 0.876 1
V1 V 0.122 0.250 0.597 1
N1 N 0.124 0.250 0.861 1
N2 N 0.181 0.750 0.467 1
N3 N 0.435 0.750 0.161 1
```

Results
Total moment in μB per cell: 0.0
V in Å³ per atom: 13.42
N(E_F) in states/eV per cell: 9.0

[5]
The following is a DFT calculation (PBE) of CeYNbN3 after structural relaxation.

```
data_CeYNbN3
_chemical_formula_sum 'Ce2 Y2 Nb2 N6'
_symmetry_space_group_name_H-M 'P 1 21/m 1'
_symmetry_Int_Tables_number 11
_cell_length_a 5.797
_cell_length_b 3.387
_cell_length_c 8.689
_cell_angle_alpha 90.00
_cell_angle_beta 102.81
_cell_angle_gamma 90.00
loop_
_symmetry_equiv_pos_as_xyz
'x,y,z'
'-x,-y,-z'
'-x,y+1/2,-z'
'x,-y+1/2,z'
loop_
_atom_site_label
_atom_site_type_symbol
_atom_site_fract_x
_atom_site_fract_y
_atom_site_fract_z
_atom_site_occupancy
Ce1 Ce 0.142 0.250 0.187 1
Y1 Y 0.270 0.750 0.552 1
Nb1 Nb 0.375 0.250 0.871 1
N1 N 0.060 0.250 0.679 1
N2 N 0.251 0.750 0.985 1
N3 N 0.450 0.750 0.326 1
```

Results
Total moment in μB per cell: 0.0
V in Å³ per atom: 13.86
N(E_F) in states/eV per cell: 5.9

[6]
The following is a DFT calculation (PBE) of Ce2YNbN5 after structural relaxation.

```
data_Ce2YNbN5
_chemical_formula_sum 'Ce8 Y4 Nb4 N20'
_symmetry_space_group_name_H-M 'C m c 21'
_symmetry_Int_Tables_number 36
_cell_length_a 3.540
_cell_length_b 13.782
_cell_length_c 11.369
_cell_angle_alpha 90.00
_cell_angle_beta 90.00
_cell_angle_gamma 90.00
loop_
_symmetry_equiv_pos_as_xyz
'x,y,z'
'-x,-y,z+1/2'
'-x,y,z'
'x,-y,z+1/2'
'x+1/2,y+1/2,z'
'-x+1/2,-y+1/2,z+1/2'
'-x+1/2,y+1/2,z'
'x+1/2,-y+1/2,z+1/2'
loop_
_atom_site_label
_atom_site_type_symbol
_atom_site_fract_x
_atom_site_fract_y
_atom_site_fract_z
_atom_site_occupancy
Ce1 Ce 0.000 0.130 0.000 1
Ce2 Ce 0.000 0.138 0.520 1
Y1 Y 0.000 0.241 0.268 1
Nb1 Nb 0.000 0.492 0.762 1
N1 N 0.000 0.068 0.306 1
N2 N 0.000 0.278 0.920 1
N3 N 0.000 0.281 0.625 1
N4 N 0.000 0.392 0.357 1
N5 N 0.000 0.467 0.098 1
```

Results
Total moment in μB per cell: 4.1
V in Å³ per atom: 15.41
N(E_F) in states/eV per cell: 29.5

[7]
The following is a DFT calculation (PBE) of Ce3Y2NbN6 after structural relaxation.

```
data_Ce3Y2NbN6
_chemical_formula_sum 'Ce6 Y4 Nb2 N12'
_symmetry_space_group_name_H-M 'C 1 2/m 1'
_symmetry_Int_Tables_number 12
_cell_length_a 5.961
_cell_length_b 10.324
_cell_length_c 6.000
_cell_angle_alpha 90.00
_cell_angle_beta 109.33
_cell_angle_gamma 90.00
loop_
_symmetry_equiv_pos_as_xyz
'x,y,z'
'-x,-y,-z'
'-x,y,-z'
'x,-y,z'
'x+1/2,y+1/2,z'
'-x+1/2,-y+1/2,-z'
'-x+1/2,y+1/2,-z'
'x+1/2,-y+1/2,z'
loop_
_atom_site_label
_atom_site_type_symbol
_atom_site_fract_x
_atom_site_fract_y
_atom_site_fract_z
_atom_site_occupancy
Ce1 Ce 0.000 0.000 0.000 1
Ce2 Ce 0.000 0.333 0.000 1
Y1 Y 0.000 0.166 0.500 1
Nb1 Nb 0.000 0.500 0.500 1
N1 N 0.235 0.343 0.733 1
N2 N 0.237 0.500 0.263 1
```

Results
Total moment in μB per cell: 0.0
V in Å³ per atom: 14.52
N(E_F) in states/eV per cell: 15.6

[8]
The following is a DFT calculation (PBE) of Ce2Y3NbN6 after structural relaxation.

```
data_Ce2Y3NbN6
_chemical_formula_sum 'Ce4 Y6 Nb2 N12'
_symmetry_space_group_name_H-M 'C 1 2/m 1'
_symmetry_Int_Tables_number 12
_cell_length_a 5.963
_cell_length_b 10.328
_cell_length_c 5.953
_cell_angle_alpha 90.00
_cell_angle_beta 109.45
_cell_angle_gamma 90.00
loop_
_symmetry_equiv_pos_as_xyz
'x,y,z'
'-x,-y,-z'
'-x,y,-z'
'x,-y,z'
'x+1/2,y+1/2,z'
'-x+1/2,-y+1/2,-z'
'-x+1/2,y+1/2,-z'
'x+1/2,-y+1/2,z'
loop_
_atom_site_label
_atom_site_type_symbol
_atom_site_fract_x
_atom_site_fract_y
_atom_site_fract_z
_atom_site_occupancy
Ce1 Ce 0.000 0.167 0.000 1
Y1 Y 0.000 0.000 0.500 1
Y2 Y 0.000 0.336 0.500 1
Nb1 Nb 0.000 0.500 0.000 1
N1 N 0.238 0.500 0.755 1
N2 N 0.239 0.341 0.239 1
```

Results
Total moment in μB per cell: 0.0
V in Å³ per atom: 14.40
N(E_F) in states/eV per cell: 15.2

Q: Which formation energy without anion corrections values were calculated for the entries above? A: -11.03; -17.25; -11.79; -6.68; -8.61; -11.85; -17.86; -17.92, in eV per formula unit.